Entry from Alexandria via LeMat-Bulk: a relaxed structure of AlHg2Bi4 (PBE).

Lattice parameters (Å, degrees): 8.3417 8.3417 8.3417 140.33 140.33 57.35
Element x y z (fractional)
Al  0.0000  0.0000  0.0000
Hg  0.3918  0.3918  0.0000
Hg  0.6082  0.6082  0.0000
Bi  0.0000  0.5000  0.5000
Bi  0.1923  0.1923  0.0000
Bi  0.5000  0.0000  0.5000
Bi  0.8077  0.8077  0.0000

Values from the calculation:
Electronic total energy (Ha/atom): -0.0888
Formation energy from the elements (eV per formula unit): 2.953